Entry 1:
The following is a GGA-PBE calculation of a relaxed structure of Na7SO2, from Alexandria via LeMat-Bulk.

Calculated values
total magnetic moment	0.00	μB per cell
Fermi-level density of states	0.21	states/eV/atom
calculated volume	202.2	Å³/cell
formation energy from raw total energies	-0.91	eV/atom

Unit cell a=4.449 b=7.022 c=7.022 alpha=112.84 beta=90.00 gamma=90.00
Atoms (fractional coordinates):
Na: 0.000 0.709 0.291
Na: 0.000 0.291 0.709
Na: 0.500 0.044 0.318
Na: 0.500 0.956 0.682
Na: 0.500 0.318 0.044
Na: 0.500 0.682 0.956
Na: 0.500 0.500 0.500
S: 0.000 0.000 0.000
O: 0.500 0.697 0.303
O: 0.500 0.303 0.697

Entry 2:
The following is a GGA-PBE calculation of a relaxed structure of ZnIr2Pb, from Alexandria via LeMat-Bulk.

Calculated values
total magnetic moment	0.00	μB per cell
Fermi-level density of states	1.09	states/eV/atom
calculated volume	67.3	Å³/cell
formation energy from the elements	0.394	eV per atom
relative energy among the computed polymorphs	0.72	eV per formula unit

Unit cell a=5.091 b=5.091 c=5.091 alpha=133.92 beta=133.92 gamma=67.21
Atoms (fractional coordinates):
Ir: 0.000 0.000 0.000
Ir: 0.250 0.750 0.500
Pb: 0.500 0.500 0.000
Zn: 0.750 0.250 0.500

Entry 3:
The following is a GGA-PBE calculation of a relaxed structure of LiBeNi2, from Alexandria via LeMat-Bulk.

Calculated values
total magnetic moment	0.00	μB per cell
Fermi-level density of states	0.46	states/eV/atom
calculated volume	42.1	Å³/cell
formation energy from the elements	-0.054	eV per atom

Unit cell a=2.624 b=2.624 c=6.119 alpha=90.00 beta=90.00 gamma=89.98
Atoms (fractional coordinates):
Be: 0.000 0.000 0.465
Li: 0.500 0.500 0.741
Ni: 0.000 0.000 0.013
Ni: 0.500 0.500 0.281

Entry 4:
The following is a GGA-PBE calculation of a relaxed structure of Sm4Er3Zn4, from Alexandria via LeMat-Bulk.

Calculated values
total magnetic moment	0.00	μB per cell
Fermi-level density of states	0.92	states/eV/atom
calculated volume	290.0	Å³/cell
formation energy from the elements	-0.092	eV per atom

Unit cell a=5.080 b=6.817 c=9.392 alpha=111.28 beta=105.69 gamma=90.00
Atoms (fractional coordinates):
Sm: 0.321 0.087 0.642
Sm: 0.679 0.445 0.358
Sm: 0.679 0.913 0.358
Sm: 0.321 0.555 0.642
Er: 0.096 0.096 0.193
Er: 0.904 0.904 0.807
Er: 0.000 0.500 0.000
Zn: 0.173 0.673 0.346
Zn: 0.827 0.327 0.654
Zn: 0.500 0.811 0.000
Zn: 0.500 0.189 0.000

Q: Fermi-level density of states of number 3 (LiBeNi2)?
A: 0.46 states/eV/atom

Q: Which of these has the highest calculated volume?
A: Sm4Er3Zn4